Material: CaNiAgF6
Method: DFT, GGA+U
State: optimized geometry

```
18
Lattice="5.620 0.000 0.000 -2.810 4.867 0.000 0.000 0.000 9.223" Properties=species:S:1:pos:R:3 pbc="T T T"
Ca 0.000 3.245 2.306
Ca 2.810 1.622 6.917
Ni 0.000 3.245 6.917
Ni 2.810 1.622 2.306
Ag 0.000 0.000 0.000
Ag 0.000 0.000 4.612
F -0.817 1.766 5.827
F -1.689 3.277 8.008
F 0.817 1.766 8.008
F -0.873 4.692 5.827
F 1.938 0.176 1.215
F 1.121 1.590 3.396
F 1.689 3.277 5.827
F 0.873 4.692 8.008
F 3.683 0.176 3.396
F 1.994 3.102 1.215
F 4.500 1.590 1.215
F 3.627 3.102 3.396
```

Volume in Å³/cell: 252.3
Total energy in eV per atom: -4.418

=====

Material: CaNiAg2F6
Method: DFT, GGA+U
State: optimized geometry

```
20
Lattice="5.871 0.000 0.000 0.000 8.371 0.000 0.000 0.000 6.194" Properties=species:S:1:pos:R:3 pbc="T T T"
Ca 1.468 2.093 1.231
Ca 4.403 6.278 4.963
Ni 1.468 6.278 1.818
Ni 4.403 2.093 4.375
Ag 1.468 0.386 4.196
Ag 1.468 3.800 4.196
Ag 4.403 4.571 1.998
Ag 4.403 7.985 1.998
F 0.074 2.093 5.676
F 0.105 6.278 3.330
F 1.468 4.270 1.798
F 1.468 8.286 1.798
F 2.830 6.278 3.330
F 2.862 2.093 5.676
F 3.009 6.278 0.518
F 3.041 2.093 2.864
F 4.403 0.085 4.396
F 4.403 4.101 4.396
F 5.766 2.093 2.864
F 5.797 6.278 0.518
```

Volume in Å³/cell: 304.4
Total energy in eV per atom: -4.307